Entry 1:
# Hf3GeIr

A PBEsol-optimized structure of Hf3GeIr (SCAN, the Alexandria database).

Structure (POSCAR):
```
Hf3GeIr
1.0
4.777 0.000 0.000
0.000 4.777 0.000
0.000 0.000 4.777
Hf Ge Ir
3 1 1
Cartesian
0.000 0.000 2.388 Hf
0.000 2.388 0.000 Hf
2.388 0.000 0.000 Hf
0.000 0.000 0.000 Ge
2.388 2.388 2.388 Ir
```

Summary:
- total magnetic moment (μB per cell) = 0.0
- D(E_F) (states/eV/atom) = 1.54
- formation enthalpy at 0 K (eV per atom) = 0.557

---

Entry 2:
# HfNbGe2Ir

A PBEsol-optimized structure of HfNbGe2Ir (SCAN, the Alexandria database).

Structure (POSCAR):
```
HfNbGe2Ir
1.0
4.766 0.000 0.000
0.000 4.766 0.000
0.000 0.000 4.905
Hf Nb Ge Ir
1 1 2 1
Cartesian
0.000 0.000 0.000 Hf
0.000 0.000 2.452 Nb
0.000 2.383 2.452 Ge
2.383 0.000 2.452 Ge
2.383 2.383 0.000 Ir
```

Summary:
- total magnetic moment (μB per cell) = 0.0
- D(E_F) (states/eV/atom) = 1.02
- formation enthalpy at 0 K (eV per atom) = 1.303

---

Entry 3:
# HfSiGe2Ir

A PBEsol-optimized structure of HfSiGe2Ir (SCAN, the Alexandria database).

Structure (POSCAR):
```
HfSiGe2Ir
1.0
4.668 0.000 0.000
0.000 4.668 0.000
0.000 0.000 4.359
Hf Si Ge Ir
1 1 2 1
Cartesian
0.000 0.000 0.000 Hf
2.334 2.334 2.180 Si
0.000 2.334 2.180 Ge
2.334 0.000 2.180 Ge
2.334 2.334 0.000 Ir
```

Summary:
- total magnetic moment (μB per cell) = 0.0
- D(E_F) (states/eV/atom) = 0.47
- energy relative to the elements, uncorrected (meV/atom) = 572

---

Entry 4:
# LaHf3Ge

A PBEsol-optimized structure of LaHf3Ge (SCAN, the Alexandria database).

Structure (POSCAR):
```
LaHf3Ge
1.0
5.043 0.000 0.000
0.000 5.043 0.000
0.000 0.000 5.043
La Hf Ge
1 3 1
Cartesian
0.000 0.000 0.000 La
0.000 0.000 2.521 Hf
0.000 2.521 0.000 Hf
2.521 0.000 0.000 Hf
2.521 2.521 2.521 Ge
```

Summary:
- total magnetic moment (μB per cell) = 0.0
- D(E_F) (states/eV/atom) = 1.30
- formation enthalpy at 0 K (eV per atom) = 1.678

---

Entry 5:
# LiHf2GePd

A PBEsol-optimized structure of LiHf2GePd (SCAN, the Alexandria database).

Structure (POSCAR):
```
LiHf2GePd
1.0
4.583 0.000 0.000
0.000 4.583 0.000
0.000 0.000 4.062
Li Hf Ge Pd
1 2 1 1
Cartesian
0.000 0.000 0.000 Li
0.000 2.292 0.000 Hf
2.292 0.000 0.000 Hf
0.000 0.000 2.031 Ge
2.292 2.292 2.031 Pd
```

Summary:
- total magnetic moment (μB per cell) = 0.0
- D(E_F) (states/eV/atom) = 0.76
- formation enthalpy at 0 K (eV per atom) = 0.384

---

Entry 6:
# HfMg2GeSe

A PBEsol-optimized structure of HfMg2GeSe (SCAN, the Alexandria database).

Structure (POSCAR):
```
HfMg2GeSe
1.0
5.624 0.000 0.000
0.000 5.624 0.000
0.000 0.000 4.923
Hf Mg Ge Se
1 2 1 1
Cartesian
0.000 0.000 0.000 Hf
0.000 2.812 0.000 Mg
2.812 0.000 0.000 Mg
0.000 0.000 2.461 Ge
2.812 2.812 2.461 Se
```

Summary:
- total magnetic moment (μB per cell) = 1.2
- D(E_F) (states/eV/atom) = 0.97
- energy relative to the elements, uncorrected (meV/atom) = 995

---

Entry 7:
# HfMnGe

A PBEsol-optimized structure of HfMnGe (SCAN, the Alexandria database).

Structure (POSCAR):
```
HfMnGe
1.0
6.497 0.000 0.000
-3.248 5.626 0.000
0.000 0.000 3.735
Hf Mn Ge
3 3 3
Cartesian
-1.892 3.278 0.000 Hf
1.356 2.349 0.000 Hf
3.785 0.000 0.000 Hf
-0.773 1.339 1.868 Mn
1.546 0.000 1.868 Mn
2.475 4.287 1.868 Mn
0.000 0.000 0.000 Ge
0.000 3.751 1.868 Ge
3.248 1.875 1.868 Ge
```

Summary:
- total magnetic moment (μB per cell) = 7.9
- D(E_F) (states/eV/atom) = 0.35
- formation enthalpy at 0 K (eV per atom) = -0.685

---

Entry 8:
# Hf9GeMo4

A PBEsol-optimized structure of Hf9GeMo4 (SCAN, the Alexandria database).

Structure (POSCAR):
```
Hf9GeMo4
1.0
8.555 0.000 0.000
-4.278 7.409 0.000
0.000 0.000 8.614
Hf Ge Mo
18 2 8
Cartesian
-1.643 3.991 2.153 Hf
0.000 2.917 4.680 Hf
0.000 2.917 8.240 Hf
-1.752 5.951 4.680 Hf
-1.752 5.951 8.240 Hf
2.526 1.458 0.373 Hf
2.526 1.458 3.933 Hf
1.643 3.991 2.153 Hf
0.000 6.837 2.153 Hf
4.278 0.572 6.460 Hf
2.635 3.418 6.460 Hf
1.752 5.951 4.680 Hf
1.752 5.951 8.240 Hf
6.029 1.458 0.373 Hf
6.029 1.458 3.933 Hf
4.278 4.492 0.373 Hf
4.278 4.492 3.933 Hf
5.921 3.418 6.460 Hf
0.000 4.939 6.460 Ge
4.278 2.470 2.153 Ge
0.000 0.000 0.000 Mo
0.000 0.000 4.307 Mo
0.000 1.626 2.153 Mo
-2.869 6.596 2.153 Mo
1.408 0.813 6.460 Mo
2.869 6.596 2.153 Mo
7.147 0.813 6.460 Mo
4.278 5.783 6.460 Mo
```

Summary:
- total magnetic moment (μB per cell) = 0.0
- D(E_F) (states/eV/atom) = 0.64
- formation enthalpy at 0 K (eV per atom) = -0.217

---

Entry 9:
# Hf2Ge2Mo

A PBEsol-optimized structure of Hf2Ge2Mo (SCAN, the Alexandria database).

Structure (POSCAR):
```
Hf2Ge2Mo
1.0
6.725 0.000 0.000
0.000 6.725 0.000
0.000 0.000 3.753
Hf Ge Mo
4 4 2
Cartesian
1.161 2.201 0.000 Hf
2.201 5.564 0.000 Hf
4.524 1.161 0.000 Hf
5.564 4.524 0.000 Hf
0.889 4.252 1.876 Ge
2.474 0.889 1.876 Ge
4.252 5.836 1.876 Ge
5.836 2.474 1.876 Ge
0.000 0.000 1.876 Mo
3.363 3.363 1.876 Mo
```

Summary:
- total magnetic moment (μB per cell) = 0.0
- D(E_F) (states/eV/atom) = 0.27
- formation enthalpy at 0 K (eV per atom) = -0.698

---

Entry 10:
# HfGeMoS2

A PBEsol-optimized structure of HfGeMoS2 (SCAN, the Alexandria database).

Structure (POSCAR):
```
HfGeMoS2
1.0
4.769 0.000 0.000
0.000 4.769 0.000
0.000 0.000 5.176
Hf Ge Mo S
1 1 1 2
Cartesian
0.000 0.000 0.000 Hf
0.000 0.000 2.588 Ge
2.385 2.385 2.588 Mo
0.000 2.385 0.000 S
2.385 0.000 0.000 S
```

Summary:
- total magnetic moment (μB per cell) = 3.8
- D(E_F) (states/eV/atom) = 0.46
- energy relative to the elements, uncorrected (meV/atom) = 376

---

Entry 11:
# HfGeN3

A PBEsol-optimized structure of HfGeN3 (SCAN, the Alexandria database).

Structure (POSCAR):
```
HfGeN3
1.0
4.157 0.000 0.000
0.000 4.157 0.000
0.000 0.000 4.157
Hf Ge N
1 1 3
Cartesian
0.000 0.000 0.000 Hf
2.078 2.078 2.078 Ge
0.000 0.000 2.078 N
0.000 2.078 0.000 N
2.078 0.000 0.000 N
```

Summary:
- total magnetic moment (μB per cell) = 3.0
- D(E_F) (states/eV/atom) = 0.26
- energy relative to the elements, uncorrected (meV/atom) = 544

---

Entry 12:
# HfGeNO2

A PBEsol-optimized structure of HfGeNO2 (SCAN, the Alexandria database).

Structure (POSCAR):
```
HfGeNO2
1.0
4.019 0.000 0.000
0.000 4.019 0.000
0.000 0.000 4.241
Hf Ge N O
1 1 1 2
Cartesian
0.000 0.000 0.000 Hf
2.009 2.009 2.121 Ge
0.000 0.000 2.121 N
0.000 2.009 0.000 O
2.009 0.000 0.000 O
```

Summary:
- total magnetic moment (μB per cell) = 1.0
- D(E_F) (states/eV/atom) = 0.23
- energy relative to the elements, uncorrected (meV/atom) = -1295

---

Entry 13:
# NaHfGe2O

A PBEsol-optimized structure of NaHfGe2O (SCAN, the Alexandria database).

Structure (POSCAR):
```
NaHfGe2O
1.0
4.986 0.000 0.000
0.000 4.986 0.000
0.000 0.000 7.190
Na Hf Ge O
1 1 2 1
Cartesian
0.000 0.000 0.000 Na
0.000 0.000 3.595 Hf
0.000 2.493 3.595 Ge
2.493 0.000 3.595 Ge
2.493 2.493 0.000 O
```

Summary:
- total magnetic moment (μB per cell) = 1.4
- D(E_F) (states/eV/atom) = 1.13
- energy relative to the elements, uncorrected (meV/atom) = 976

---

Entry 14:
# Na4Hf2Ge3O12

A PBEsol-optimized structure of Na4Hf2Ge3O12 (SCAN, the Alexandria database).

Structure (POSCAR):
```
Na4Hf2Ge3O12
1.0
4.720 2.725 7.435
-4.720 2.725 7.435
0.000 -5.450 7.435
Na Hf Ge O
8 4 6 24
Cartesian
0.000 0.000 0.000 Na
-2.938 0.362 9.294 Na
-1.783 -2.363 13.012 Na
1.155 -2.725 9.294 Na
0.000 0.000 11.153 Na
-1.155 2.725 13.012 Na
1.783 2.363 9.294 Na
2.938 -0.362 13.012 Na
0.000 0.000 3.203 Hf
0.000 0.000 7.950 Hf
0.000 0.000 14.356 Hf
0.000 0.000 19.103 Hf
-1.946 -2.725 9.294 Ge
-3.333 0.322 13.012 Ge
-1.387 3.048 9.294 Ge
1.387 -3.048 13.012 Ge
3.333 -0.322 9.294 Ge
1.946 2.725 13.012 Ge
-2.951 -2.580 10.718 O
-0.931 -4.156 9.257 O
-4.065 -1.271 13.049 O
-1.769 0.145 7.001 O
-3.710 1.266 11.588 O
-0.931 -1.295 9.331 O
-3.133 2.885 9.257 O
0.759 -1.604 7.001 O
0.759 -3.846 11.588 O
-1.587 0.159 12.974 O
-0.655 1.454 9.331 O
-1.010 -1.459 15.305 O
1.010 1.459 7.001 O
0.655 -1.454 12.974 O
1.587 -0.159 9.331 O
-0.759 3.846 10.718 O
-0.759 1.604 15.305 O
3.133 -2.885 13.049 O
0.931 1.294 12.974 O
3.710 -1.266 10.718 O
1.769 -0.145 15.305 O
4.065 1.271 9.257 O
0.931 4.156 13.049 O
2.951 2.580 11.588 O
```

Summary:
- total magnetic moment (μB per cell) = 0.0
- D(E_F) (states/eV/atom) = 0.00
- energy relative to the elements, uncorrected (meV/atom) = -2481

---

Entry 15:
# Hf2NbGe2

A PBEsol-optimized structure of Hf2NbGe2 (SCAN, the Alexandria database).

Structure (POSCAR):
```
Hf2NbGe2
1.0
6.891 0.000 0.000
0.000 6.891 0.000
0.000 0.000 3.705
Hf Nb Ge
4 2 4
Cartesian
1.194 2.251 0.000 Hf
2.251 5.697 0.000 Hf
4.640 1.194 0.000 Hf
5.697 4.640 0.000 Hf
0.000 0.000 1.853 Nb
3.446 3.446 1.853 Nb
0.894 4.340 1.853 Ge
2.551 0.894 1.853 Ge
4.340 5.997 1.853 Ge
5.997 2.551 1.853 Ge
```

Summary:
- total magnetic moment (μB per cell) = 0.0
- D(E_F) (states/eV/atom) = 0.42
- formation enthalpy at 0 K (eV per atom) = -0.773

---

Entry 16:
# HfNb2Ge2

A PBEsol-optimized structure of HfNb2Ge2 (SCAN, the Alexandria database).

Structure (POSCAR):
```
HfNb2Ge2
1.0
6.942 0.000 0.000
0.000 6.942 0.000
0.000 0.000 3.518
Hf Nb Ge
2 4 4
Cartesian
0.000 0.000 0.000 Hf
3.471 3.471 0.000 Hf
1.169 2.301 1.759 Nb
2.301 5.772 1.759 Nb
4.640 1.169 1.759 Nb
5.772 4.640 1.759 Nb
0.908 4.379 0.000 Ge
2.563 0.908 0.000 Ge
4.379 6.033 0.000 Ge
6.033 2.563 0.000 Ge
```

Summary:
- total magnetic moment (μB per cell) = 0.0
- D(E_F) (states/eV/atom) = 0.23
- formation enthalpy at 0 K (eV per atom) = -0.664

---

Entry 17:
# Hf2Nb3Ge4

A PBEsol-optimized structure of Hf2Nb3Ge4 (SCAN, the Alexandria database).

Structure (POSCAR):
```
Hf2Nb3Ge4
1.0
6.760 0.000 0.000
0.000 13.127 0.000
0.000 0.000 6.899
Hf Nb Ge
8 12 16
Cartesian
0.080 1.189 1.208 Hf
0.080 5.374 1.208 Hf
3.301 7.752 4.658 Hf
3.301 11.938 4.658 Hf
3.460 1.189 2.241 Hf
3.460 5.374 2.241 Hf
6.681 7.752 5.691 Hf
6.681 11.938 5.691 Hf
1.075 8.198 2.307 Nb
1.075 11.493 2.307 Nb
1.118 3.282 3.497 Nb
2.262 9.845 0.047 Nb
2.305 1.634 5.756 Nb
2.305 4.929 5.756 Nb
4.455 8.198 1.143 Nb
4.455 11.493 1.143 Nb
4.498 3.282 6.852 Nb
5.642 9.845 3.402 Nb
5.685 1.634 4.593 Nb
5.685 4.929 4.593 Nb
0.263 3.282 6.136 Ge
1.240 0.530 3.713 Ge
1.240 6.034 3.713 Ge
1.300 9.845 4.498 Ge
2.080 3.282 1.048 Ge
2.140 7.093 0.263 Ge
2.140 12.597 0.263 Ge
3.117 9.845 2.686 Ge
3.643 3.282 4.213 Ge
4.620 0.530 6.636 Ge
4.620 6.034 6.636 Ge
4.680 9.845 5.851 Ge
5.460 3.282 2.401 Ge
5.520 7.093 3.187 Ge
5.520 12.597 3.187 Ge
6.497 9.845 0.763 Ge
```

Summary:
- total magnetic moment (μB per cell) = 0.0
- D(E_F) (states/eV/atom) = 0.38
- formation enthalpy at 0 K (eV per atom) = -0.727

---

Entry 18:
# Hf4NbGe4

A PBEsol-optimized structure of Hf4NbGe4 (SCAN, the Alexandria database).

Structure (POSCAR):
```
Hf4NbGe4
1.0
6.853 0.000 0.000
0.000 13.328 0.000
0.000 0.000 6.981
Hf Nb Ge
16 4 16
Cartesian
0.079 1.261 1.232 Hf
0.079 5.403 1.232 Hf
1.056 8.327 2.308 Hf
1.056 11.665 2.308 Hf
2.371 1.663 5.799 Hf
2.371 5.001 5.799 Hf
3.348 7.925 4.722 Hf
3.348 12.067 4.722 Hf
3.506 1.261 2.259 Hf
3.506 5.403 2.259 Hf
4.482 8.327 1.182 Hf
4.482 11.665 1.182 Hf
5.798 1.663 4.672 Hf
5.798 5.001 4.672 Hf
6.774 7.925 5.749 Hf
6.774 12.067 5.749 Hf
1.180 3.332 3.513 Nb
2.247 9.996 0.023 Nb
4.606 3.332 6.957 Nb
5.674 9.996 3.467 Nb
0.300 3.332 6.227 Ge
1.287 9.996 4.533 Ge
1.292 0.536 3.718 Ge
1.292 6.128 3.718 Ge
2.134 7.200 0.228 Ge
2.134 12.792 0.228 Ge
2.139 3.332 1.043 Ge
3.126 9.996 2.737 Ge
3.727 3.332 4.244 Ge
4.714 9.996 5.937 Ge
4.719 0.536 6.753 Ge
4.719 6.128 6.753 Ge
5.561 7.200 3.263 Ge
5.561 12.792 3.263 Ge
5.566 3.332 2.447 Ge
6.553 9.996 0.753 Ge
```

Summary:
- total magnetic moment (μB per cell) = 0.0
- D(E_F) (states/eV/atom) = 0.39
- formation enthalpy at 0 K (eV per atom) = -0.791

---

Entry 19:
# HfNiGe3

A PBEsol-optimized structure of HfNiGe3 (SCAN, the Alexandria database).

Structure (POSCAR):
```
HfNiGe3
1.0
5.015 0.000 0.000
0.000 5.015 0.000
0.000 0.000 5.015
Hf Ni Ge
1 1 3
Cartesian
0.000 0.000 0.000 Hf
2.508 2.508 2.508 Ni
0.000 0.000 2.508 Ge
0.000 2.508 0.000 Ge
2.508 0.000 0.000 Ge
```

Summary:
- total magnetic moment (μB per cell) = 1.3
- D(E_F) (states/eV/atom) = 1.39
- formation enthalpy at 0 K (eV per atom) = 1.082